Entry 1:
## AcGaS (PBE-GGA)

Data for AcGaS after structural relaxation.

Computed properties:
V	166.8	Å³ per cell
space-group type	P4/nmm, No. 129
ΔE to the lowest computed polymorph	0	meV per atom

Structure (POSCAR):
```
AcGaS
1.0
4.075 0.000 0.000
0.000 4.075 0.000
0.000 0.000 10.041
Ac Ga S
2 2 2
direct
0.500 0.000 0.692
0.000 0.500 0.308
0.500 0.000 0.034
0.000 0.500 0.966
0.000 0.500 0.617
0.500 0.000 0.383
```



Entry 2:
## Be4WAu (PBE-GGA)

Data for Be4WAu after structural relaxation.

Computed properties:
V	65.4	Å³ per cell
space-group type	F-43m, No. 216
energy of formation	0.11	eV per atom

Structure (POSCAR):
```
Be4WAu
1.0
0.000 3.198 3.198
3.198 0.000 3.198
3.198 3.198 0.000
Be Au W
4 1 1
direct
0.860 0.380 0.380
0.380 0.860 0.380
0.380 0.380 0.860
0.380 0.380 0.380
0.000 0.000 0.000
0.750 0.750 0.750
```